No. 1
The following is a GGA-PBE calculation of CrCd3C after structural relaxation, from Alexandria.

Output
Formation energy from the elements = 2.30 eV per atom
Distance to the lowest polymorph of the same formula = 6.17 eV per formula unit

Cell and atoms, written as CIF:
```
data_CrCd3C
_symmetry_space_group_name_H-M 'P 1'
_symmetry_Int_Tables_number 1
_cell_length_a 5.061
_cell_length_b 5.061
_cell_length_c 5.061
_cell_angle_alpha 90.00
_cell_angle_beta 90.00
_cell_angle_gamma 90.00
loop_
_symmetry_equiv_pos_as_xyz
'x,y,z'
loop_
_atom_site_label
_atom_site_type_symbol
_atom_site_fract_x
_atom_site_fract_y
_atom_site_fract_z
Cd1 Cd 0.000 0.500 0.000
Cd2 Cd 0.000 0.000 0.500
Cd3 Cd 0.500 0.000 0.000
C1 C 0.500 0.500 0.500
Cr1 Cr 0.000 0.000 0.000
```

=====

No. 2
The following is a GGA-PBE calculation of SrPrZnCu after structural relaxation, from Alexandria.

Output
Formation energy from the elements = -0.10 eV per atom

Cell and atoms, written as CIF:
```
data_SrPrZnCu
_symmetry_space_group_name_H-M 'P 1'
_symmetry_Int_Tables_number 1
_cell_length_a 5.289
_cell_length_b 5.289
_cell_length_c 5.289
_cell_angle_alpha 60.00
_cell_angle_beta 60.00
_cell_angle_gamma 60.00
loop_
_symmetry_equiv_pos_as_xyz
'x,y,z'
loop_
_atom_site_label
_atom_site_type_symbol
_atom_site_fract_x
_atom_site_fract_y
_atom_site_fract_z
Pr1 Pr 0.000 0.000 0.000
Zn1 Zn 0.750 0.750 0.750
Cu1 Cu 0.250 0.250 0.250
Sr1 Sr 0.500 0.500 0.500
```

=====

No. 3
The following is a GGA-PBE calculation of AlAg3 after structural relaxation, from Alexandria.

Output
Formation energy from the elements = -0.01 eV per atom

Cell and atoms, written as CIF:
```
data_AlAg3
_symmetry_space_group_name_H-M 'P 1'
_symmetry_Int_Tables_number 1
_cell_length_a 2.972
_cell_length_b 11.563
_cell_length_c 4.046
_cell_angle_alpha 90.00
_cell_angle_beta 90.00
_cell_angle_gamma 90.00
loop_
_symmetry_equiv_pos_as_xyz
'x,y,z'
loop_
_atom_site_label
_atom_site_type_symbol
_atom_site_fract_x
_atom_site_fract_y
_atom_site_fract_z
Ag1 Ag 0.000 0.993 0.000
Ag2 Ag 0.000 0.750 0.000
Ag3 Ag 0.000 0.507 0.000
Ag4 Ag 0.000 0.250 0.000
Ag5 Ag 0.500 0.379 0.500
Ag6 Ag 0.500 0.121 0.500
Al1 Al 0.500 0.624 0.500
Al2 Al 0.500 0.876 0.500
```

=====

No. 4
The following is a GGA-PBE calculation of Sc6TlOs2 after structural relaxation, from Alexandria.

Output
Formation energy from the elements = -0.32 eV per atom

Cell and atoms, written as CIF:
```
data_Sc6TlOs2
_symmetry_space_group_name_H-M 'P 1'
_symmetry_Int_Tables_number 1
_cell_length_a 8.000
_cell_length_b 8.000
_cell_length_c 8.000
_cell_angle_alpha 103.34
_cell_angle_beta 112.39
_cell_angle_gamma 112.86
loop_
_symmetry_equiv_pos_as_xyz
'x,y,z'
loop_
_atom_site_label
_atom_site_type_symbol
_atom_site_fract_x
_atom_site_fract_y
_atom_site_fract_z
Sc1 Sc 0.471 0.285 0.186
Sc2 Sc 0.212 0.757 0.969
Sc3 Sc 0.098 0.285 0.814
Sc4 Sc 0.529 0.715 0.814
Sc5 Sc 0.308 0.639 0.331
Sc6 Sc 0.212 0.243 0.455
Sc7 Sc 0.902 0.715 0.186
Sc8 Sc 0.692 0.361 0.669
Sc9 Sc 0.788 0.757 0.545
Sc10 Sc 0.692 0.023 0.331
Sc11 Sc 0.308 0.977 0.669
Sc12 Sc 0.788 0.243 0.031
Os1 Os 0.500 0.630 0.130
Os2 Os 0.500 0.370 0.870
Os3 Os 0.665 0.000 0.665
Os4 Os 0.335 0.000 0.335
Tl1 Tl 0.000 0.500 0.500
Tl2 Tl 0.000 0.000 0.000
```

=====

No. 5
The following is a GGA-PBE calculation of Cu2BiI6 after structural relaxation, from Alexandria.

Output
Distance to the lowest polymorph of the same formula = 0.00 eV per formula unit
ΔE_f (raw) = -264.3 meV/atom

Cell and atoms, written as CIF:
```
data_Cu2BiI6
_symmetry_space_group_name_H-M 'P 1'
_symmetry_Int_Tables_number 1
_cell_length_a 7.766
_cell_length_b 10.557
_cell_length_c 10.557
_cell_angle_alpha 78.41
_cell_angle_beta 75.19
_cell_angle_gamma 75.19
loop_
_symmetry_equiv_pos_as_xyz
'x,y,z'
loop_
_atom_site_label
_atom_site_type_symbol
_atom_site_fract_x
_atom_site_fract_y
_atom_site_fract_z
I1 I 0.153 0.806 0.949
I2 I 0.618 0.651 0.140
I3 I 0.479 0.332 0.420
I4 I 0.882 0.860 0.349
I5 I 0.979 0.420 0.332
I6 I 0.382 0.349 0.860
I7 I 0.347 0.051 0.194
I8 I 0.521 0.668 0.580
I9 I 0.847 0.194 0.051
I10 I 0.021 0.580 0.668
I11 I 0.118 0.140 0.651
I12 I 0.653 0.949 0.806
Bi1 Bi 0.750 0.913 0.087
Bi2 Bi 0.250 0.087 0.913
Cu1 Cu 0.128 0.381 0.535
Cu2 Cu 0.872 0.619 0.465
Cu3 Cu 0.372 0.465 0.619
Cu4 Cu 0.628 0.535 0.381
```

=====

No. 6
The following is a GGA-PBE calculation of YHo2InC after structural relaxation, from Alexandria.

Output
Formation energy from the elements = -0.53 eV per atom

Cell and atoms, written as CIF:
```
data_YHo2InC
_symmetry_space_group_name_H-M 'P 1'
_symmetry_Int_Tables_number 1
_cell_length_a 4.926
_cell_length_b 4.899
_cell_length_c 4.899
_cell_angle_alpha 90.00
_cell_angle_beta 90.00
_cell_angle_gamma 90.00
loop_
_symmetry_equiv_pos_as_xyz
'x,y,z'
loop_
_atom_site_label
_atom_site_type_symbol
_atom_site_fract_x
_atom_site_fract_y
_atom_site_fract_z
In1 In 0.500 0.500 0.500
Ho1 Ho 0.000 0.500 0.000
Ho2 Ho 0.000 0.000 0.500
Y1 Y 0.500 0.000 0.000
C1 C 0.000 0.000 0.000
```

=====

No. 7
The following is a GGA-PBE calculation of LaNd6Sm2 after structural relaxation, from Alexandria.

Output
Formation energy from the elements = 0.19 eV per atom
Distance to the lowest polymorph of the same formula = 1.22 eV per formula unit

Cell and atoms, written as CIF:
```
data_LaNd6Sm2
_symmetry_space_group_name_H-M 'P 1'
_symmetry_Int_Tables_number 1
_cell_length_a 6.304
_cell_length_b 7.634
_cell_length_c 7.634
_cell_angle_alpha 60.01
_cell_angle_beta 89.99
_cell_angle_gamma 89.99
loop_
_symmetry_equiv_pos_as_xyz
'x,y,z'
loop_
_atom_site_label
_atom_site_type_symbol
_atom_site_fract_x
_atom_site_fract_y
_atom_site_fract_z
Sm1 Sm 0.217 0.333 0.333
Sm2 Sm 0.783 0.667 0.667
Nd1 Nd 0.709 0.628 0.186
Nd2 Nd 0.291 0.814 0.372
Nd3 Nd 0.292 0.814 0.814
Nd4 Nd 0.709 0.186 0.628
Nd5 Nd 0.708 0.186 0.186
Nd6 Nd 0.291 0.372 0.814
La1 La 0.000 0.000 0.000
```

=====

No. 8
The following is a GGA-PBE calculation of TlNi2Rh after structural relaxation, from Alexandria.

Output
Formation energy from the elements = 0.26 eV per atom
Distance to the lowest polymorph of the same formula = 0.26 eV per formula unit

Cell and atoms, written as CIF:
```
data_TlNi2Rh
_symmetry_space_group_name_H-M 'P 1'
_symmetry_Int_Tables_number 1
_cell_length_a 3.199
_cell_length_b 3.199
_cell_length_c 5.781
_cell_angle_alpha 90.00
_cell_angle_beta 90.00
_cell_angle_gamma 90.00
loop_
_symmetry_equiv_pos_as_xyz
'x,y,z'
loop_
_atom_site_label
_atom_site_type_symbol
_atom_site_fract_x
_atom_site_fract_y
_atom_site_fract_z
Ni1 Ni 0.000 0.000 0.469
Ni2 Ni 0.000 0.000 0.031
Tl1 Tl 0.500 0.500 0.750
Rh1 Rh 0.500 0.500 0.250
```

=====

No. 9
The following is a GGA-PBE calculation of BeIn2AgIr after structural relaxation, from Alexandria.

Output
Formation energy from the elements = 0.81 eV per atom

Cell and atoms, written as CIF:
```
data_BeIn2AgIr
_symmetry_space_group_name_H-M 'P 1'
_symmetry_Int_Tables_number 1
_cell_length_a 5.099
_cell_length_b 5.257
_cell_length_c 5.099
_cell_angle_alpha 90.00
_cell_angle_beta 90.00
_cell_angle_gamma 90.00
loop_
_symmetry_equiv_pos_as_xyz
'x,y,z'
loop_
_atom_site_label
_atom_site_type_symbol
_atom_site_fract_x
_atom_site_fract_y
_atom_site_fract_z
Ir1 Ir 0.000 0.000 0.000
Ag1 Ag 0.000 0.500 0.000
In1 In 0.000 0.000 0.500
In2 In 0.500 0.000 0.000
Be1 Be 0.500 0.500 0.500
```

=====

No. 10
The following is a GGA-PBE calculation of Sm6Mg23C after structural relaxation, from Alexandria.

Output
Formation energy from the elements = -0.10 eV per atom

Cell and atoms, written as CIF:
```
data_Sm6Mg23C
_symmetry_space_group_name_H-M 'P 1'
_symmetry_Int_Tables_number 1
_cell_length_a 10.137
_cell_length_b 10.137
_cell_length_c 10.137
_cell_angle_alpha 60.00
_cell_angle_beta 60.00
_cell_angle_gamma 60.00
loop_
_symmetry_equiv_pos_as_xyz
'x,y,z'
loop_
_atom_site_label
_atom_site_type_symbol
_atom_site_fract_x
_atom_site_fract_y
_atom_site_fract_z
Sm1 Sm 0.180 0.180 0.820
Sm2 Sm 0.820 0.820 0.180
Sm3 Sm 0.180 0.820 0.180
Sm4 Sm 0.820 0.180 0.820
Sm5 Sm 0.820 0.180 0.180
Sm6 Sm 0.180 0.820 0.820
Mg1 Mg 0.830 0.830 0.510
Mg2 Mg 0.139 0.620 0.620
Mg3 Mg 0.170 0.490 0.170
Mg4 Mg 0.170 0.170 0.170
Mg5 Mg 0.000 0.000 0.500
Mg6 Mg 0.380 0.380 0.861
Mg7 Mg 0.500 0.000 0.000
Mg8 Mg 0.000 0.500 0.500
Mg9 Mg 0.380 0.380 0.380
Mg10 Mg 0.830 0.510 0.830
Mg11 Mg 0.620 0.139 0.620
Mg12 Mg 0.000 0.500 0.000
Mg13 Mg 0.500 0.500 0.000
Mg14 Mg 0.500 0.500 0.500
Mg15 Mg 0.510 0.830 0.830
Mg16 Mg 0.170 0.170 0.490
Mg17 Mg 0.830 0.830 0.830
Mg18 Mg 0.500 0.000 0.500
Mg19 Mg 0.620 0.620 0.139
Mg20 Mg 0.380 0.861 0.380
Mg21 Mg 0.490 0.170 0.170
Mg22 Mg 0.861 0.380 0.380
Mg23 Mg 0.620 0.620 0.620
C1 C 0.000 0.000 0.000
```